Record 1
VASP calculation (PBE) on a relaxed structure of CdGaF2.

a = 6.338 Å, b = 6.338 Å, c = 6.338 Å
α = 90.00°, β = 90.00°, γ = 90.00°
Fractional coordinates of all 16 atoms:
Cd (0.000, 0.000, 0.000)
Cd (0.000, 0.500, 0.500)
Cd (0.500, 0.000, 0.500)
Cd (0.500, 0.500, 0.000)
Ga (0.000, 0.000, 0.500)
Ga (0.000, 0.500, 0.000)
Ga (0.500, 0.000, 0.000)
Ga (0.500, 0.500, 0.500)
F (0.250, 0.250, 0.250)
F (0.250, 0.250, 0.750)
F (0.250, 0.750, 0.250)
F (0.250, 0.750, 0.750)
F (0.750, 0.250, 0.250)
F (0.750, 0.250, 0.750)
F (0.750, 0.750, 0.250)
F (0.750, 0.750, 0.750)

Calculated values
Fermi-level density of states = 2.67 states/eV/f.u.
formation energy from raw total energies = -1.201 eV per atom



Record 2
VASP calculation (PBE) on a relaxed structure of NbIrNO2.

a = 3.912 Å, b = 3.912 Å, c = 4.253 Å
α = 90.00°, β = 90.00°, γ = 90.00°
Fractional coordinates of all 5 atoms:
Nb (0.000, 0.000, 0.000)
Ir (0.500, 0.500, 0.500)
N (0.000, 0.000, 0.500)
O (0.000, 0.500, 0.000)
O (0.500, 0.000, 0.000)

Calculated values
Fermi-level density of states = 4.16 states/eV/f.u.
formation energy from raw total energies = -0.074 eV per atom



Record 3
VASP calculation (PBE) on a relaxed structure of HfSnN.

a = 10.145 Å, b = 10.145 Å, c = 10.145 Å
α = 20.43°, β = 20.43°, γ = 20.43°
Fractional coordinates of all 6 atoms:
Hf (0.124, 0.124, 0.124)
Hf (0.876, 0.876, 0.876)
Sn (0.371, 0.371, 0.371)
Sn (0.629, 0.629, 0.629)
N (0.197, 0.197, 0.197)
N (0.803, 0.803, 0.803)

Calculated values
Fermi-level density of states = 0.46 states/eV/f.u.
formation energy from raw total energies = -0.993 eV per atom



Record 4
VASP calculation (PBE) on a relaxed structure of KBe2F.

a = 7.078 Å, b = 7.078 Å, c = 7.078 Å
α = 90.00°, β = 90.00°, γ = 90.00°
Fractional coordinates of all 16 atoms:
K (0.000, 0.000, 0.000)
K (0.000, 0.500, 0.500)
K (0.500, 0.000, 0.500)
K (0.500, 0.500, 0.000)
Be (0.250, 0.250, 0.250)
Be (0.250, 0.250, 0.750)
Be (0.250, 0.750, 0.250)
Be (0.250, 0.750, 0.750)
Be (0.750, 0.250, 0.250)
Be (0.750, 0.250, 0.750)
Be (0.750, 0.750, 0.250)
Be (0.750, 0.750, 0.750)
F (0.000, 0.000, 0.500)
F (0.000, 0.500, 0.000)
F (0.500, 0.000, 0.000)
F (0.500, 0.500, 0.500)

Calculated values
Fermi-level density of states = 0.48 states/eV/f.u.
formation energy from raw total energies = 0.733 eV per atom